No. 1
First-principles (GGA-PBE) data for a geometry-optimized Tl5Ge2O5 structure, as listed in Alexandria.

```
Tl5Ge2O5
1.0
3.1182 0.0000 0.0000
-1.5591 8.6636 1.0453
0.0000 -1.8211 10.4150
Tl O Ge
5 5 2
direct
0.3523 0.7045 0.7743
0.8225 0.6449 0.4190
0.6477 0.2955 0.2257
0.1775 0.3551 0.5810
0.5000 0.0000 0.5000
0.4071 0.8143 0.1603
0.5929 0.1857 0.8397
0.0000 0.0000 0.0000
0.0373 0.0747 0.2693
0.9627 0.9253 0.7307
0.9624 0.9248 0.1517
0.0376 0.0752 0.8483
```

Calculated values
* uncorrected formation energy: -0.867 eV/atom



No. 2
First-principles (GGA-PBE) data for a geometry-optimized Tl3GeO structure, as listed in Alexandria.

```
Tl3GeO
1.0
5.4827 0.0000 0.0000
0.0000 5.4827 0.0000
0.0000 0.0000 5.4827
Tl Ge O
3 1 1
direct
0.5000 0.0000 0.0000
0.0000 0.0000 0.5000
0.0000 0.5000 0.0000
0.0000 0.0000 0.0000
0.5000 0.5000 0.5000
```

Calculated values
* uncorrected formation energy: 0.591 eV/atom
* energy above the lowest structure with this stoichiometry: 48.2 kJ per mole of atoms



No. 3
First-principles (GGA-PBE) data for a geometry-optimized TlGe3O structure, as listed in Alexandria.

```
TlGe3O
1.0
-4.7109 -1.1482 -2.3030
2.2790 -4.0925 -2.6215
-1.1950 -3.2784 4.0791
Tl Ge O
1 3 1
direct
0.0000 0.0000 0.0000
0.0000 0.5000 0.0000
0.0000 0.0000 0.5000
0.5000 0.0000 0.0000
0.5000 0.5000 0.5000
```

Calculated values
* uncorrected formation energy: 1.436 eV/atom
* energy above the lowest structure with this stoichiometry: 137.0 kJ per mole of atoms



No. 4
First-principles (GGA-PBE) data for a geometry-optimized TlGe2O structure, as listed in Alexandria.

```
TlGe2O
1.0
4.1776 1.8850 1.0512
0.6445 2.1252 4.1447
2.7259 -1.9991 3.2685
Tl O Ge
1 1 2
direct
0.5000 0.5000 0.5000
0.0000 0.0000 0.0000
0.2500 0.2500 0.2500
0.7500 0.7500 0.7500
```

Calculated values
* uncorrected formation energy: 0.458 eV/atom
* energy above the lowest structure with this stoichiometry: 55.9 kJ per mole of atoms